Entry 1:
Compound: Si2HgPt
Source: the Alexandria database
Functional: SCAN
Structure: PBEsol geometry Values from VASP.

Structure (Quantum ESPRESSO input):
```
&SYSTEM
  ibrav = 0, nat = 4, ntyp = 3
/
ATOMIC_SPECIES
Si 28.09 Si.upf
Hg 200.59 Hg.upf
Pt 195.08 Pt.upf
CELL_PARAMETERS angstrom
0.000 3.045 4.163
2.721 0.000 4.163
2.721 3.045 0.000
ATOMIC_POSITIONS angstrom
Si 2.721 1.523 2.082
Si 0.000 1.523 2.082
Hg 0.000 0.000 0.000
Pt 2.721 3.045 4.163
```

Results
Formation energy without anion corrections = 0.26 eV per atom

***

Entry 2:
Compound: SnHg2Pt2
Source: the Alexandria database
Functional: SCAN
Structure: PBEsol geometry Values from VASP.

Structure (Quantum ESPRESSO input):
```
&SYSTEM
  ibrav = 0, nat = 5, ntyp = 3
/
ATOMIC_SPECIES
Sn 118.71 Sn.upf
Hg 200.59 Hg.upf
Pt 195.08 Pt.upf
CELL_PARAMETERS angstrom
-1.919 1.919 6.826
1.919 -1.919 6.826
1.919 1.919 -6.826
ATOMIC_POSITIONS angstrom
Sn 0.000 0.000 0.000
Hg 1.919 0.000 3.413
Hg 0.000 1.919 3.413
Pt 0.000 0.000 5.540
Pt 0.000 0.000 8.113
```

Results
Formation energy = 9.62 kJ per mole of atoms

***

Entry 3:
Compound: SrHg2Pt
Source: the Alexandria database
Functional: SCAN
Structure: PBEsol geometry Values from VASP.

Structure (Quantum ESPRESSO input):
```
&SYSTEM
  ibrav = 0, nat = 4, ntyp = 3
/
ATOMIC_SPECIES
Sr 87.62 Sr.upf
Hg 200.59 Hg.upf
Pt 195.08 Pt.upf
CELL_PARAMETERS angstrom
0.000 3.541 3.541
3.541 0.000 3.541
3.541 3.541 0.000
ATOMIC_POSITIONS angstrom
Sr 0.000 0.000 0.000
Hg 1.770 1.770 1.770
Hg 5.311 5.311 5.311
Pt 3.541 3.541 3.541
```

Results
Formation energy = -39.23 kJ per mole of atoms

***

Entry 4:
Compound: SrHg2Pt
Source: the Alexandria database
Functional: SCAN
Structure: PBEsol geometry Values from VASP.

Structure (Quantum ESPRESSO input):
```
&SYSTEM
  ibrav = 0, nat = 4, ntyp = 3
/
ATOMIC_SPECIES
Sr 87.62 Sr.upf
Hg 200.59 Hg.upf
Pt 195.08 Pt.upf
CELL_PARAMETERS angstrom
2.365 1.366 5.127
-2.365 1.366 5.127
0.000 -2.731 5.127
ATOMIC_POSITIONS angstrom
Sr 0.000 0.000 0.000
Hg 0.000 0.000 3.248
Hg 0.000 0.000 6.928
Pt 0.000 0.000 12.319
```

Results
Formation energy = -51.70 kJ per mole of atoms

***

Entry 5:
Compound: SrHgPt2
Source: the Alexandria database
Functional: SCAN
Structure: PBEsol geometry Values from VASP.

Structure (Quantum ESPRESSO input):
```
&SYSTEM
  ibrav = 0, nat = 4, ntyp = 3
/
ATOMIC_SPECIES
Sr 87.62 Sr.upf
Hg 200.59 Hg.upf
Pt 195.08 Pt.upf
CELL_PARAMETERS angstrom
2.325 1.342 5.073
-2.325 1.342 5.073
0.000 -2.685 5.073
ATOMIC_POSITIONS angstrom
Sr 0.000 0.000 0.000
Hg 0.000 0.000 7.609
Pt 0.000 0.000 2.917
Pt 0.000 0.000 12.301
```

Results
Formation energy = -52.41 kJ per mole of atoms

***

Entry 6:
Compound: SrHg2Pt
Source: the Alexandria database
Functional: SCAN
Structure: PBEsol geometry Values from VASP.

Structure (Quantum ESPRESSO input):
```
&SYSTEM
  ibrav = 0, nat = 4, ntyp = 3
/
ATOMIC_SPECIES
Sr 87.62 Sr.upf
Hg 200.59 Hg.upf
Pt 195.08 Pt.upf
CELL_PARAMETERS angstrom
4.307 0.000 0.000
0.000 4.307 0.000
0.000 0.000 4.894
ATOMIC_POSITIONS angstrom
Sr 0.000 0.000 0.000
Hg 0.000 2.153 2.447
Hg 2.153 0.000 2.447
Pt 2.153 2.153 0.000
```

Results
Formation energy = -35.32 kJ per mole of atoms

***

| no. | V (Å³ per cell) | magnetic moment (μB per formula unit) | Fermi-level density of states (states/eV/atom) |
| --- | --- | --- | --- |
| 1 | 69 | 0.000 | 0.44 |
| 2 | 101 | 0.000 | 0.38 |
| 3 | 89 | 0.000 | 0.35 |
| 4 | 99 | 0.000 | 0.43 |
| 5 | 95 | 0.000 | 0.34 |
| 6 | 91 | 0.000 | 0.35 |